# Na7Tl12Sn, relaxed, DFT PBE-GGA
data_Na7Tl12Sn
_chemical_formula_sum 'Na7 Tl12 Sn1'
_cell_length_a 6.188
_cell_length_b 9.179
_cell_length_c 11.073
_cell_angle_alpha 71.67
_cell_angle_beta 87.18
_cell_angle_gamma 88.81
_symmetry_space_group_name_H-M 'P -1'
_symmetry_Int_Tables_number 2
loop_
_symmetry_equiv_pos_as_xyz
'x,y,z'
'-x,-y,-z'
loop_
_atom_site_label
_atom_site_fract_x
_atom_site_fract_y
_atom_site_fract_z
_atom_site_occupancy
Na1 0.000 0.000 0.000 1
Na2 0.231 0.103 0.451 1
Na3 0.293 0.278 0.707 1
Na4 0.326 0.648 0.084 1
Tl1 0.154 0.482 0.379 1
Tl2 0.169 0.527 0.857 1
Tl3 0.211 0.875 0.278 1
Tl4 0.260 0.255 0.132 1
Tl5 0.271 0.903 0.757 1
Tl6 0.359 0.674 0.563 1
Sn1 0.500 0.000 0.000 1
# Energy of formation from the pure elements = -0.076 eV per atom
# Relative energy among the computed polymorphs = 0 meV per atom
# Density = 7.6 g cm⁻³


# Na8Tl3Sn2, relaxed, DFT PBE-GGA
data_Na8Tl3Sn2
_chemical_formula_sum 'Na16 Tl6 Sn4'
_cell_length_a 9.206
_cell_length_b 15.681
_cell_length_c 5.747
_cell_angle_alpha 90.00
_cell_angle_beta 90.00
_cell_angle_gamma 90.00
_symmetry_space_group_name_H-M 'C m m m'
_symmetry_Int_Tables_number 65
_symmetry_space_group_name_Hall '-C 2 2'
loop_
_atom_site_label
_atom_site_fract_x
_atom_site_fract_y
_atom_site_fract_z
_atom_site_occupancy
Na1 0.000 0.105 0.000 1
Na2 0.000 0.304 0.000 1
Na3 0.188 0.379 0.500 1
Tl1 0.000 0.000 0.500 1
Tl2 0.166 0.500 0.000 1
Sn1 0.000 0.199 0.500 1
# Energy of formation from the pure elements = -0.049 eV per atom
# Relative energy among the computed polymorphs = 11 meV per atom
# Density = 4.1 g cm⁻³


# Na3Tl7Sn, relaxed, DFT PBE-GGA
data_Na3Tl7Sn
_chemical_formula_sum 'Na3 Tl7 Sn1'
_cell_length_a 5.724
_cell_length_b 7.861
_cell_length_c 7.918
_cell_angle_alpha 82.92
_cell_angle_beta 76.36
_cell_angle_gamma 77.50
_symmetry_space_group_name_H-M 'P 1'
_symmetry_Int_Tables_number 1
loop_
_symmetry_equiv_pos_as_xyz
'x,y,z'
loop_
_atom_site_label
_atom_site_fract_x
_atom_site_fract_y
_atom_site_fract_z
_atom_site_occupancy
Na1 0.000 0.000 0.000 1
Na2 0.252 0.245 0.252 1
Na3 0.729 0.754 0.757 1
Tl1 0.243 0.911 0.586 1
Tl2 0.256 0.556 0.910 1
Tl3 0.493 0.829 0.173 1
Tl4 0.729 0.093 0.441 1
Tl5 0.740 0.413 0.091 1
Tl6 0.973 0.328 0.673 1
Tl7 0.985 0.664 0.337 1
Sn1 0.478 0.507 0.494 1
# Energy of formation from the pure elements = -0.048 eV per atom
# Density = 8.0 g cm⁻³


# Na4TlSn, relaxed, DFT PBE-GGA
data_Na4TlSn
_chemical_formula_sum 'Na16 Tl4 Sn4'
_cell_length_a 8.889
_cell_length_b 8.889
_cell_length_c 8.889
_cell_angle_alpha 90.00
_cell_angle_beta 90.00
_cell_angle_gamma 90.00
_symmetry_space_group_name_H-M 'F -4 3 m'
_symmetry_Int_Tables_number 216
_symmetry_space_group_name_Hall 'F -4 2 3'
loop_
_atom_site_label
_atom_site_fract_x
_atom_site_fract_y
_atom_site_fract_z
_atom_site_occupancy
Na1 0.124 0.124 0.376 1
Tl1 0.000 0.000 0.000 1
Sn1 0.250 0.250 0.750 1
# Energy of formation from the pure elements = 0.037 eV per atom
# Relative energy among the computed polymorphs = 161 meV per atom
# Density = 3.9 g cm⁻³